Record 1
BaPr2SnN4 | PBE | optimized geometry

Properties
Uncorrected formation energy ... -724 meV per atom
SG ... Cmcm (63)

Lattice parameters (Å, degrees): 3.6662 6.6858 12.7374 90.00 90.00 105.91
Last column: nearest neighbours and their distance in Å.
Element x y z (fractional)
Ba 0.0968 0.1937 0.7500  6 N 2.89-3.11
Ba 0.9032 0.8063 0.2500  6 N 2.89-3.11
Pr 0.3699 0.7399 0.5347  3 N 2.39-2.52
Pr 0.6301 0.2601 0.0347  3 N 2.39-2.52
Pr 0.6301 0.2601 0.4653  3 N 2.39-2.52
Pr 0.3699 0.7399 0.9653  3 N 2.39-2.52
Sn 0.8298 0.6597 0.7500  4 N 2.06-2.19
Sn 0.1702 0.3403 0.2500  4 N 2.06-2.19
N 0.2600 0.5200 0.1162  1 Sn 2.06
N 0.7400 0.4800 0.6162  1 Sn 2.06
N 0.7400 0.4800 0.8838  1 Sn 2.06
N 0.2600 0.5200 0.3838  1 Sn 2.06
N 0.0000 0.0000 0.5000  4 Pr 2.52
N 0.0000 0.0000 0.0000  4 Pr 2.52
N 0.4233 0.8465 0.7500  2 Sn 2.19
N 0.5767 0.1535 0.2500  2 Sn 2.19

=====

Record 2
MgTlSn | PBE | optimized geometry

Properties
DOS at the Fermi energy ... 1.1 states/eV per cell
Polymorph energy (0 for the lowest one) ... 29 meV/atom
SG ... I4mm (107)
Energy of formation ... -8 kJ/mol of formula units

Lattice parameters (Å, degrees): 3.4628 3.4628 7.0424 104.23 104.23 90.00
Last column: nearest neighbours and their distance in Å.
Element x y z (fractional)
Mg 0.6735 0.6735 0.3469  4 Sn 3.13, 4 Tl 3.31, 4 Mg 3.46
Tl 0.0053 0.0053 0.0106  4 Mg 3.31, 4 Sn 3.45, 4 Tl 3.46
Sn 0.3213 0.3213 0.6425  4 Mg 3.13, 4 Tl 3.45, 4 Sn 3.46